(1)
HfReBi2 | PBE | optimized geometry

Geometry as POSCAR:
```
HfReBi2
1.0
7.105 0.000 0.000
0.000 7.105 0.000
0.000 0.000 7.105
Hf Re Bi
4 4 8
Cartesian
0.000 0.000 0.000 Hf
0.000 3.553 3.553 Hf
3.553 0.000 3.553 Hf
3.553 3.553 0.000 Hf
1.776 1.776 5.329 Re
1.776 5.329 1.776 Re
5.329 1.776 1.776 Re
5.329 5.329 5.329 Re
0.000 0.000 3.553 Bi
0.000 3.553 0.000 Bi
1.776 1.776 1.776 Bi
1.776 5.329 5.329 Bi
3.553 0.000 0.000 Bi
3.553 3.553 3.553 Bi
5.329 1.776 5.329 Bi
5.329 5.329 1.776 Bi
```

Computed properties:
Symmetry: F-43m, No. 216
E_tot in eV per atom: -6.98


(2)
HfReBi | PBE | optimized geometry

Geometry as POSCAR:
```
HfReBi
1.0
6.522 0.000 0.000
0.000 6.522 0.000
0.000 0.000 6.522
Hf Re Bi
4 4 4
Cartesian
0.000 0.000 0.000 Hf
0.000 3.261 3.261 Hf
3.261 0.000 3.261 Hf
3.261 3.261 0.000 Hf
1.630 1.630 4.891 Re
1.630 4.891 1.630 Re
4.891 1.630 1.630 Re
4.891 4.891 4.891 Re
0.000 0.000 3.261 Bi
0.000 3.261 0.000 Bi
3.261 0.000 0.000 Bi
3.261 3.261 3.261 Bi
```

Computed properties:
Symmetry: F-43m, No. 216
E_tot in eV per atom: -8.40


(3)
Hf2ReBi | PBE | optimized geometry

Geometry as POSCAR:
```
Hf2ReBi
1.0
6.869 0.000 0.000
0.000 6.869 0.000
0.000 0.000 6.869
Hf Re Bi
8 4 4
Cartesian
0.000 0.000 0.000 Hf
0.000 3.434 3.434 Hf
1.717 1.717 1.717 Hf
1.717 5.151 5.151 Hf
3.434 0.000 3.434 Hf
3.434 3.434 0.000 Hf
5.151 1.717 5.151 Hf
5.151 5.151 1.717 Hf
1.717 1.717 5.151 Re
1.717 5.151 1.717 Re
5.151 1.717 1.717 Re
5.151 5.151 5.151 Re
0.000 0.000 3.434 Bi
0.000 3.434 0.000 Bi
3.434 0.000 0.000 Bi
3.434 3.434 3.434 Bi
```

Computed properties:
Symmetry: F-43m, No. 216
E_tot in eV per atom: -8.72


(4)
HfBiSb2 | PBE | optimized geometry

Geometry as POSCAR:
```
HfBiSb2
1.0
7.457 0.000 0.000
0.000 7.457 0.000
0.000 0.000 7.457
Hf Bi Sb
4 4 8
Cartesian
0.000 0.000 0.000 Hf
0.000 3.728 3.728 Hf
3.728 0.000 3.728 Hf
3.728 3.728 0.000 Hf
1.864 1.864 5.593 Bi
1.864 5.593 1.864 Bi
5.593 1.864 1.864 Bi
5.593 5.593 5.593 Bi
0.000 0.000 3.728 Sb
0.000 3.728 0.000 Sb
1.864 1.864 1.864 Sb
1.864 5.593 5.593 Sb
3.728 0.000 0.000 Sb
3.728 3.728 3.728 Sb
5.593 1.864 5.593 Sb
5.593 5.593 1.864 Sb
```

Computed properties:
Symmetry: F-43m, No. 216
E_tot in eV per atom: -5.29


(5)
HfBiSb | PBE | optimized geometry

Geometry as POSCAR:
```
HfBiSb
1.0
7.096 0.000 0.000
0.000 7.096 0.000
0.000 0.000 7.096
Hf Bi Sb
4 4 4
Cartesian
0.000 0.000 0.000 Hf
0.000 3.548 3.548 Hf
3.548 0.000 3.548 Hf
3.548 3.548 0.000 Hf
0.000 0.000 3.548 Bi
0.000 3.548 0.000 Bi
3.548 0.000 0.000 Bi
3.548 3.548 3.548 Bi
1.774 1.774 5.322 Sb
1.774 5.322 1.774 Sb
5.322 1.774 1.774 Sb
5.322 5.322 5.322 Sb
```

Computed properties:
Symmetry: F-43m, No. 216
E_tot in eV per atom: -5.64


(6)
HfBi2Sb | PBE | optimized geometry

Geometry as POSCAR:
```
HfBi2Sb
1.0
7.555 0.000 0.000
0.000 7.555 0.000
0.000 0.000 7.555
Hf Bi Sb
4 8 4
Cartesian
0.000 0.000 0.000 Hf
0.000 3.778 3.778 Hf
3.778 0.000 3.778 Hf
3.778 3.778 0.000 Hf
0.000 0.000 3.778 Bi
0.000 3.778 0.000 Bi
1.889 1.889 1.889 Bi
1.889 5.666 5.666 Bi
3.778 0.000 0.000 Bi
3.778 3.778 3.778 Bi
5.666 1.889 5.666 Bi
5.666 5.666 1.889 Bi
1.889 1.889 5.666 Sb
1.889 5.666 1.889 Sb
5.666 1.889 1.889 Sb
5.666 5.666 5.666 Sb
```

Computed properties:
Symmetry: F-43m, No. 216
E_tot in eV per atom: -5.28


(7)
Hf2Sc2BiSb | PBE | optimized geometry

Geometry as POSCAR:
```
Hf2Sc2BiSb
1.0
4.195 0.000 0.000
0.000 4.195 0.000
0.000 0.000 15.968
Hf Sc Bi Sb
4 4 2 2
Cartesian
0.000 2.097 0.000 Hf
0.000 2.097 7.984 Hf
2.097 0.000 0.000 Hf
2.097 0.000 7.984 Hf
0.000 0.000 2.830 Sc
0.000 0.000 13.309 Sc
2.097 2.097 5.325 Sc
2.097 2.097 10.814 Sc
0.000 0.000 10.298 Bi
2.097 2.097 2.314 Bi
0.000 0.000 5.788 Sb
2.097 2.097 13.772 Sb
```

Computed properties:
Symmetry: I4mm, No. 107
E_tot in eV per atom: -7.31


(8)
HfZr3Bi2Sb2 | PBE | optimized geometry

Geometry as POSCAR:
```
HfZr3Bi2Sb2
1.0
4.145 0.000 0.000
-2.072 3.590 0.000
0.000 0.000 13.831
Hf Zr Bi Sb
1 3 2 2
Cartesian
0.000 0.000 0.000 Hf
0.000 0.000 3.755 Zr
0.000 2.393 6.904 Zr
0.000 2.393 10.694 Zr
0.000 0.000 8.803 Bi
0.000 2.393 1.853 Bi
2.072 1.197 5.332 Sb
2.072 1.197 12.289 Sb
```

Computed properties:
Symmetry: P3m1, No. 156
E_tot in eV per atom: -6.93


(9)
Hf3ZrBi2Sb2 | PBE | optimized geometry

Geometry as POSCAR:
```
Hf3ZrBi2Sb2
1.0
4.148 0.000 0.000
-2.074 3.592 0.000
0.000 0.000 13.623
Hf Zr Bi Sb
3 1 2 2
Cartesian
0.000 0.000 0.000 Hf
0.000 0.000 3.692 Hf
2.074 1.197 6.786 Hf
2.074 1.197 10.517 Zr
0.000 0.000 8.624 Bi
2.074 1.197 1.850 Bi
0.000 2.395 5.239 Sb
0.000 2.395 12.096 Sb
```

Computed properties:
Symmetry: P3m1, No. 156
E_tot in eV per atom: -7.17


(10)
HfScBi2 | PBE | optimized geometry

Geometry as POSCAR:
```
HfScBi2
1.0
7.443 0.000 0.000
0.000 7.443 0.000
0.000 0.000 7.443
Hf Sc Bi
4 4 8
Cartesian
0.000 0.000 0.000 Hf
0.000 3.722 3.722 Hf
3.722 0.000 3.722 Hf
3.722 3.722 0.000 Hf
1.861 1.861 5.582 Sc
1.861 5.582 1.861 Sc
5.582 1.861 1.861 Sc
5.582 5.582 5.582 Sc
0.000 0.000 3.722 Bi
0.000 3.722 0.000 Bi
1.861 1.861 1.861 Bi
1.861 5.582 5.582 Bi
3.722 0.000 0.000 Bi
3.722 3.722 3.722 Bi
5.582 1.861 5.582 Bi
5.582 5.582 1.861 Bi
```

Computed properties:
Symmetry: F-43m, No. 216
E_tot in eV per atom: -5.91


(11)
HfSc2Bi | PBE | optimized geometry

Geometry as POSCAR:
```
HfSc2Bi
1.0
7.179 0.000 0.000
0.000 7.179 0.000
0.000 0.000 7.179
Hf Sc Bi
4 8 4
Cartesian
0.000 0.000 0.000 Hf
0.000 3.589 3.589 Hf
3.589 0.000 3.589 Hf
3.589 3.589 0.000 Hf
0.000 0.000 3.589 Sc
0.000 3.589 0.000 Sc
1.795 1.795 1.795 Sc
1.795 5.384 5.384 Sc
3.589 0.000 0.000 Sc
3.589 3.589 3.589 Sc
5.384 1.795 5.384 Sc
5.384 5.384 1.795 Sc
1.795 1.795 5.384 Bi
1.795 5.384 1.795 Bi
5.384 1.795 1.795 Bi
5.384 5.384 5.384 Bi
```

Computed properties:
Symmetry: F-43m, No. 216
E_tot in eV per atom: -6.63


(12)
Hf4SiBi | PBE | optimized geometry

Geometry as POSCAR:
```
Hf4SiBi
1.0
6.753 0.000 0.000
0.000 6.753 0.000
0.000 0.000 5.530
Hf Si Bi
8 2 2
Cartesian
1.027 2.349 1.382 Hf
1.027 4.404 4.147 Hf
2.349 1.027 4.147 Hf
2.349 5.725 1.382 Hf
4.404 1.027 1.382 Hf
4.404 5.725 4.147 Hf
5.725 2.349 4.147 Hf
5.725 4.404 1.382 Hf
0.000 0.000 0.000 Si
3.376 3.376 2.765 Si
0.000 0.000 2.765 Bi
3.376 3.376 0.000 Bi
```

Computed properties:
Symmetry: I422, No. 97
E_tot in eV per atom: -8.50


(13)
HfSiBi2 | PBE | optimized geometry

Geometry as POSCAR:
```
HfSiBi2
1.0
7.321 0.000 0.000
0.000 7.321 0.000
0.000 0.000 7.321
Hf Si Bi
4 4 8
Cartesian
0.000 0.000 0.000 Hf
0.000 3.661 3.661 Hf
3.661 0.000 3.661 Hf
3.661 3.661 0.000 Hf
1.830 1.830 5.491 Si
1.830 5.491 1.830 Si
5.491 1.830 1.830 Si
5.491 5.491 5.491 Si
0.000 0.000 3.661 Bi
0.000 3.661 0.000 Bi
1.830 1.830 1.830 Bi
1.830 5.491 5.491 Bi
3.661 0.000 0.000 Bi
3.661 3.661 3.661 Bi
5.491 1.830 5.491 Bi
5.491 5.491 1.830 Bi
```

Computed properties:
Symmetry: F-43m, No. 216
E_tot in eV per atom: -5.39


(14)
Hf3SnBi2 | PBE | optimized geometry

Geometry as POSCAR:
```
Hf3SnBi2
1.0
6.190 0.000 0.000
-3.095 5.360 0.000
0.000 0.000 4.840
Hf Sn Bi
3 1 2
Cartesian
-1.547 2.680 0.000 Hf
3.095 0.000 0.000 Hf
1.547 2.680 0.000 Hf
0.000 0.000 2.420 Sn
0.000 3.574 2.420 Bi
3.095 1.787 2.420 Bi
```

Computed properties:
Symmetry: P6/mmm, No. 191
E_tot in eV per atom: -6.70


(15)
HfSnBi2 | PBE | optimized geometry

Geometry as POSCAR:
```
HfSnBi2
1.0
7.562 0.000 0.000
0.000 7.562 0.000
0.000 0.000 7.562
Hf Sn Bi
4 4 8
Cartesian
0.000 0.000 0.000 Hf
0.000 3.781 3.781 Hf
3.781 0.000 3.781 Hf
3.781 3.781 0.000 Hf
1.890 1.890 5.671 Sn
1.890 5.671 1.890 Sn
5.671 1.890 1.890 Sn
5.671 5.671 5.671 Sn
0.000 0.000 3.781 Bi
0.000 3.781 0.000 Bi
1.890 1.890 1.890 Bi
1.890 5.671 5.671 Bi
3.781 0.000 0.000 Bi
3.781 3.781 3.781 Bi
5.671 1.890 5.671 Bi
5.671 5.671 1.890 Bi
```

Computed properties:
Symmetry: F-43m, No. 216
E_tot in eV per atom: -5.21